# 1
A plane-wave DFT calculation with PBE was carried out for a relaxed structure of Tb4TmTh3Se8.

Its formation energy (no corrections) is -1.6592 eV/atom. The calculation puts the total magnetization at 0.0 μB per formula unit.

It has space group R-3m (No. 166, hexagonal axes), with a = 8.1567 Å, b = 8.1567 Å, c = 20.7298 Å, α = 90.00°, β = 90.00° and γ = 120.00°. The inequivalent atoms are Tb at (0.0000, 0.0000, 0.0000), Tb at (0.0000, 0.5000, 0.0000), Tm at (0.0000, 0.0000, 0.5000), Th at (0.0000, 0.5000, 0.5000), Se at (0.0000, 0.0000, 0.2545) and Se at (0.0087, 0.5044, 0.2521).

# 2
A plane-wave DFT calculation with PBE was carried out for a relaxed structure of SrNb3V.

The calculation puts the total magnetization at 0.0 μB per formula unit. For the relative energy among the computed polymorphs, the calculation gives 0.000 eV per formula unit.

It has space group Pm-3m (No. 221), with a = 4.867 Å, b = 4.867 Å, c = 4.867 Å, α = 90.00°, β = 90.00° and γ = 90.00°. The inequivalent atoms are Sr at (0.000, 0.000, 0.000), Nb at (0.000, 0.500, 0.500) and V at (0.500, 0.500, 0.500).

# 3
A plane-wave DFT calculation with PBE was carried out for a relaxed structure of RbTl2PtPb.

The calculation puts the total energy at -0.227 Ry/atom. The calculation puts the total magnetization at 0.0 μB per formula unit.

It has space group P4/mmm (No. 123), with a = 5.468 Å, b = 5.468 Å, c = 5.689 Å, α = 90.00°, β = 90.00° and γ = 90.00°. The inequivalent atoms are Rb at (0.000, 0.000, 0.000), Tl at (0.000, 0.500, 0.500), Pt at (0.500, 0.500, 0.500) and Pb at (0.500, 0.500, 0.000).

# 4
A plane-wave DFT calculation with PBE was carried out for a relaxed structure of K2SbTe.

Its formation energy (no corrections) is -0.2572 eV/atom. The calculation puts the total magnetization at 0.0 μB per formula unit. For the relative energy among the computed polymorphs, the calculation gives 1.138 eV per formula unit.

It has space group F-43m (No. 216), with a = 8.277 Å, b = 8.277 Å, c = 8.277 Å, α = 90.00°, β = 90.00° and γ = 90.00°. The inequivalent atoms are K at (0.000, 0.000, 0.000), K at (0.250, 0.250, 0.250), Sb at (0.000, 0.000, 0.500) and Te at (0.250, 0.250, 0.750).

# 5
A plane-wave DFT calculation with PBE was carried out for a relaxed structure of Sr3TcTe.

Its formation energy (no corrections) is 0.0715 eV/atom. The calculation puts the total magnetization at 0.0 μB per formula unit. For the relative energy among the computed polymorphs, the calculation gives 0.000 eV per formula unit.

It has space group Pm-3m (No. 221), with a = 5.633 Å, b = 5.633 Å, c = 5.633 Å, α = 90.00°, β = 90.00° and γ = 90.00°. The inequivalent atoms are Sr at (0.000, 0.000, 0.500), Tc at (0.000, 0.000, 0.000) and Te at (0.500, 0.500, 0.500).

# 6
A plane-wave DFT calculation with PBE was carried out for a relaxed structure of CoNi2Pb2.

The calculation puts the total energy at -0.353 Ry/atom. The calculation puts the total magnetization at 1.9 μB per formula unit.

It has space group P4/mbm (No. 127), with a = 6.722 Å, b = 6.722 Å, c = 3.821 Å, α = 90.00°, β = 90.00° and γ = 90.00°. The inequivalent atoms are Co at (0.000, 0.000, 0.000), Ni at (0.130, 0.370, 0.000) and Pb at (0.176, 0.676, 0.500).

# 7
A plane-wave DFT calculation with PBE was carried out for a relaxed structure of Tm5GeBi2C.

The calculation puts the total energy at -0.403 Ry/atom. The calculation puts the total magnetization at 0.0 μB per formula unit.

It has space group P4/mmm (No. 123), with a = 4.632 Å, b = 4.632 Å, c = 10.882 Å, α = 90.00°, β = 90.00° and γ = 90.00°. The inequivalent atoms are Tm at (0.000, 0.000, 0.000), Tm at (0.000, 0.500, 0.500), Tm at (0.500, 0.500, 0.261), Ge at (0.500, 0.500, 0.000), Bi at (0.000, 0.000, 0.288) and C at (0.500, 0.500, 0.500).

# 8
A plane-wave DFT calculation with PBE was carried out for a relaxed structure of Rb2BeO.

Its formation energy (no corrections) is -0.6134 eV/atom. The calculation puts the total magnetization at 0.0 μB per formula unit. For the relative energy among the computed polymorphs, the calculation gives 0.000 eV per formula unit.

It has space group I-42d (No. 122), with a = 13.744 Å, b = 13.744 Å, c = 3.131 Å, α = 90.00°, β = 90.00° and γ = 90.00°. The inequivalent atoms are Rb at (0.075, 0.750, 0.125), Be at (0.000, 0.000, 0.500) and O at (0.000, 0.000, 0.000).